# 1
The following is a DFT calculation (PBE) of SrGe3F12 after structural relaxation.

Unit cell a=10.036 b=10.036 c=6.506 alpha=90.00 beta=90.00 gamma=120.00
Positions (direct):
Sr1 0.333 0.667 0.250
Sr2 0.667 0.333 0.750
Ge1 0.088 0.377 0.750
Ge2 0.288 0.912 0.750
Ge3 0.377 0.288 0.250
Ge4 0.623 0.712 0.750
Ge5 0.712 0.088 0.250
Ge6 0.912 0.623 0.250
F1 0.004 0.826 0.250
F2 0.037 0.538 0.250
F3 0.174 0.178 0.250
F4 0.178 0.004 0.750
F5 0.220 0.456 0.532
F6 0.220 0.456 0.968
F7 0.236 0.780 0.532
F8 0.236 0.780 0.968
F9 0.456 0.236 0.032
F10 0.456 0.236 0.468
F11 0.462 0.499 0.250
F12 0.499 0.037 0.750
F13 0.501 0.963 0.250
F14 0.538 0.501 0.750
F15 0.544 0.764 0.532
F16 0.544 0.764 0.968
F17 0.764 0.220 0.032
F18 0.764 0.220 0.468
F19 0.780 0.544 0.032
F20 0.780 0.544 0.468
F21 0.822 0.996 0.250
F22 0.826 0.822 0.750
F23 0.963 0.462 0.750
F24 0.996 0.174 0.750

Its space group is P6_3/m (176). The value obtained for the uncorrected formation energy is -2.4256 eV per atom. The calculation puts the magnetic moment at 0.00 μB per cell.



# 2
The following is a DFT calculation (PBE) of SrGeF2 after structural relaxation.

Unit cell a=4.336 b=4.336 c=13.128 alpha=90.00 beta=90.00 gamma=120.00
Positions (direct):
Sr1 0.000 0.000 0.000
Sr2 0.333 0.667 0.667
Sr3 0.667 0.333 0.333
Ge1 0.000 0.000 0.500
Ge2 0.333 0.667 0.167
Ge3 0.667 0.333 0.833
F1 0.000 0.000 0.191
F2 0.000 0.000 0.809
F3 0.333 0.667 0.476
F4 0.333 0.667 0.858
F5 0.667 0.333 0.142
F6 0.667 0.333 0.524

Its space group is R-3m (166). The value obtained for the uncorrected formation energy is -1.9578 eV per atom. The calculation puts the magnetic moment at 0.00 μB per cell. The value obtained for the energy relative to the lowest polymorph listed for this composition is 360 meV per atom.



# 3
The following is a DFT calculation (PBE) of Sr6Ge2F after structural relaxation.

Unit cell a=7.127 b=8.504 c=12.421 alpha=90.00 beta=124.09 gamma=90.00
Positions (direct):
Sr1 0.113 0.173 0.437
Sr2 0.113 0.327 0.937
Sr3 0.260 0.667 0.434
Sr4 0.260 0.833 0.934
Sr5 0.384 0.035 0.258
Sr6 0.384 0.465 0.758
Sr7 0.616 0.535 0.242
Sr8 0.616 0.965 0.742
Sr9 0.740 0.167 0.066
Sr10 0.740 0.333 0.566
Sr11 0.887 0.673 0.063
Sr12 0.887 0.827 0.563
Ge1 0.198 0.117 0.745
Ge2 0.198 0.383 0.245
Ge3 0.802 0.617 0.755
Ge4 0.802 0.883 0.255
F1 0.500 0.000 0.500
F2 0.500 0.500 0.000

Its space group is P2_1/c (14). The value obtained for the uncorrected formation energy is -0.9156 eV per atom. The calculation puts the magnetic moment at 1.96 μB per cell.



# 4
The following is a DFT calculation (PBE) of Sr12Ge3F5 after structural relaxation.

Unit cell a=14.791 b=14.791 c=14.791 alpha=109.47 beta=109.47 gamma=109.47
Positions (direct):
Sr1 0.026 0.214 0.123
Sr2 0.026 0.312 0.903
Sr3 0.091 0.714 0.688
Sr4 0.091 0.877 0.403
Sr5 0.097 0.623 0.409
Sr6 0.097 0.974 0.688
Sr7 0.123 0.026 0.214
Sr8 0.123 0.597 0.909
Sr9 0.188 0.214 0.591
Sr10 0.188 0.474 0.597
Sr11 0.214 0.123 0.026
Sr12 0.214 0.591 0.188
Sr13 0.286 0.312 0.909
Sr14 0.286 0.474 0.377
Sr15 0.312 0.903 0.026
Sr16 0.312 0.909 0.286
Sr17 0.377 0.286 0.474
Sr18 0.377 0.591 0.903
Sr19 0.403 0.091 0.877
Sr20 0.403 0.812 0.526
Sr21 0.409 0.097 0.623
Sr22 0.409 0.812 0.786
Sr23 0.474 0.377 0.286
Sr24 0.474 0.597 0.188
Sr25 0.526 0.403 0.812
Sr26 0.526 0.623 0.714
Sr27 0.591 0.188 0.214
Sr28 0.591 0.903 0.377
Sr29 0.597 0.188 0.474
Sr30 0.597 0.909 0.123
Sr31 0.623 0.409 0.097
Sr32 0.623 0.714 0.526
Sr33 0.688 0.091 0.714
Sr34 0.688 0.097 0.974
Sr35 0.714 0.526 0.623
Sr36 0.714 0.688 0.091
Sr37 0.786 0.409 0.812
Sr38 0.786 0.877 0.974
Sr39 0.812 0.526 0.403
Sr40 0.812 0.786 0.409
Sr41 0.877 0.403 0.091
Sr42 0.877 0.974 0.786
Sr43 0.903 0.026 0.312
Sr44 0.903 0.377 0.591
Sr45 0.909 0.123 0.597
Sr46 0.909 0.286 0.312
Sr47 0.974 0.688 0.097
Sr48 0.974 0.786 0.877
Ge1 0.125 0.250 0.375
Ge2 0.125 0.375 0.750
Ge3 0.250 0.375 0.125
Ge4 0.250 0.875 0.625
Ge5 0.375 0.125 0.250
Ge6 0.375 0.750 0.125
Ge7 0.625 0.250 0.875
Ge8 0.625 0.875 0.750
Ge9 0.750 0.125 0.375
Ge10 0.750 0.625 0.875
Ge11 0.875 0.625 0.250
Ge12 0.875 0.750 0.625
F1 0.000 0.000 0.000
F2 0.000 0.000 0.500
F3 0.000 0.500 0.000
F4 0.000 0.500 0.500
F5 0.125 0.750 0.875
F6 0.125 0.875 0.250
F7 0.250 0.125 0.875
F8 0.250 0.625 0.375
F9 0.375 0.250 0.625
F10 0.375 0.625 0.750
F11 0.500 0.000 0.000
F12 0.500 0.000 0.500
F13 0.500 0.500 0.000
F14 0.500 0.500 0.500
F15 0.625 0.375 0.250
F16 0.625 0.750 0.375
F17 0.750 0.375 0.625
F18 0.750 0.875 0.125
F19 0.875 0.125 0.750
F20 0.875 0.250 0.125

Its space group is Ia-3d (230). The value obtained for the uncorrected formation energy is -1.5530 eV per atom. The calculation puts the magnetic moment at 10.78 μB per cell.



# 5
The following is a DFT calculation (PBE) of SrGeF2 after structural relaxation.

Unit cell a=3.950 b=3.950 c=19.590 alpha=90.00 beta=90.00 gamma=120.00
Positions (direct):
Sr1 0.000 0.000 0.000
Sr2 0.333 0.667 0.667
Sr3 0.667 0.333 0.333
Ge1 0.000 0.000 0.500
Ge2 0.333 0.667 0.167
Ge3 0.667 0.333 0.833
F1 0.000 0.000 0.378
F2 0.000 0.000 0.622
F3 0.333 0.667 0.045
F4 0.333 0.667 0.289
F5 0.667 0.333 0.711
F6 0.667 0.333 0.955

Its space group is R-3m (166). The value obtained for the uncorrected formation energy is -2.3178 eV per atom. The calculation puts the magnetic moment at 0.00 μB per cell. The value obtained for the energy relative to the lowest polymorph listed for this composition is 0 meV per atom.



# 6
The following is a DFT calculation (PBE) of SrGe2F6 after structural relaxation.

Unit cell a=7.694 b=7.694 c=7.385 alpha=115.03 beta=115.03 gamma=97.08
Positions (direct):
Sr1 0.086 0.914 0.750
Sr2 0.914 0.086 0.250
Ge1 0.253 0.483 0.880
Ge2 0.483 0.253 0.380
Ge3 0.517 0.747 0.620
Ge4 0.747 0.517 0.120
F1 0.037 0.209 0.693
F2 0.064 0.608 0.788
F3 0.209 0.037 0.193
F4 0.248 0.392 0.595
F5 0.392 0.248 0.095
F6 0.392 0.936 0.712
F7 0.608 0.064 0.288
F8 0.608 0.752 0.905
F9 0.752 0.608 0.405
F10 0.791 0.963 0.807
F11 0.936 0.392 0.212
F12 0.963 0.791 0.307

Its space group is C2/c (15). The value obtained for the uncorrected formation energy is -2.7230 eV per atom. The calculation puts the magnetic moment at 0.00 μB per cell. The value obtained for the energy relative to the lowest polymorph listed for this composition is 27 meV per atom.



# 7
The following is a DFT calculation (PBE) of SrGe2F6 after structural relaxation.

Unit cell a=8.579 b=8.579 c=10.242 alpha=125.70 beta=125.70 gamma=42.45
Positions (direct):
Sr1 0.250 0.750 0.750
Sr2 0.750 0.250 0.250
Ge1 0.056 0.557 0.897
Ge2 0.443 0.944 0.603
Ge3 0.557 0.056 0.397
Ge4 0.944 0.443 0.103
F1 0.066 0.126 0.962
F2 0.105 0.606 0.770
F3 0.126 0.066 0.462
F4 0.372 0.435 0.038
F5 0.394 0.895 0.730
F6 0.435 0.372 0.538
F7 0.565 0.628 0.462
F8 0.606 0.105 0.270
F9 0.628 0.565 0.962
F10 0.874 0.934 0.538
F11 0.895 0.394 0.230
F12 0.934 0.874 0.038

Its space group is C2/c (15). The value obtained for the uncorrected formation energy is -2.7501 eV per atom. The calculation puts the magnetic moment at 0.00 μB per cell. The value obtained for the energy relative to the lowest polymorph listed for this composition is 0 meV per atom.



# 8
The following is a DFT calculation (PBE) of SrGe2F after structural relaxation.

Unit cell a=7.112 b=7.112 c=7.112 alpha=90.00 beta=90.00 gamma=90.00
Positions (direct):
Sr1 0.000 0.000 0.000
Sr2 0.000 0.500 0.500
Sr3 0.500 0.000 0.500
Sr4 0.500 0.500 0.000
Ge1 0.250 0.250 0.250
Ge2 0.250 0.250 0.750
Ge3 0.250 0.750 0.250
Ge4 0.250 0.750 0.750
Ge5 0.750 0.250 0.250
Ge6 0.750 0.250 0.750
Ge7 0.750 0.750 0.250
Ge8 0.750 0.750 0.750
F1 0.000 0.000 0.500
F2 0.000 0.500 0.000
F3 0.500 0.000 0.000
F4 0.500 0.500 0.500

Its space group is Fm-3m (225). The value obtained for the uncorrected formation energy is -0.2813 eV per atom. The calculation puts the magnetic moment at 0.00 μB per cell. The value obtained for the energy relative to the lowest polymorph listed for this composition is 1037 meV per atom.



# 9
The following is a DFT calculation (PBE) of SrGeF2 after structural relaxation.

Unit cell a=6.137 b=6.137 c=10.933 alpha=90.00 beta=90.00 gamma=90.00
Positions (direct):
Sr1 0.000 0.000 0.000
Sr2 0.000 0.500 0.250
Sr3 0.500 0.000 0.750
Sr4 0.500 0.500 0.500
Ge1 0.000 0.000 0.500
Ge2 0.000 0.500 0.750
Ge3 0.500 0.000 0.250
Ge4 0.500 0.500 0.000
F1 0.169 0.250 0.125
F2 0.250 0.669 0.375
F3 0.250 0.831 0.875
F4 0.331 0.250 0.625
F5 0.669 0.750 0.625
F6 0.750 0.169 0.875
F7 0.750 0.331 0.375
F8 0.831 0.750 0.125

Its space group is I-42d (122). The value obtained for the uncorrected formation energy is -1.9674 eV per atom. The calculation puts the magnetic moment at 0.00 μB per cell. The value obtained for the energy relative to the lowest polymorph listed for this composition is 350 meV per atom.



# 10
The following is a DFT calculation (PBE) of SrZn2GeF after structural relaxation.

Unit cell a=4.645 b=4.645 c=6.427 alpha=90.00 beta=90.00 gamma=90.00
Positions (direct):
Sr1 0.000 0.000 0.000
Zn1 0.000 0.500 0.500
Zn2 0.500 0.000 0.500
Ge1 0.000 0.000 0.500
F1 0.500 0.500 0.000

Its space group is P4/mmm (123). The value obtained for the uncorrected formation energy is -0.6523 eV per atom. The calculation puts the magnetic moment at 0.00 μB per cell.